(1)
Here is a relaxed CsMoS2N crystal from the Alexandria database. Energies are from GGA-PBE.

Geometry as extended XYZ:
```
5
Lattice="5.451 0.000 0.000 0.000 5.451 0.000 0.000 0.000 4.240" Properties=species:S:1:pos:R:3 pbc="T T T"
Cs 0.000 0.000 0.000
Mo 2.725 2.725 2.120
S 0.000 2.725 0.000
S 2.725 0.000 0.000
N 0.000 0.000 2.120
```

Summary:
- SG = P4/mmm
- energy above the most stable polymorph in this dataset (meV per atom) = 2855.8
- theoretical density (Mg/m³) = 4.05
- raw total energy (eV/atom) = -2.987
- magnetic moment (Bohr magnetons per cell) = 0.218
- formation energy without anion corrections (eV/atom) = 2.67



(2)
Here is a relaxed ZrGa2Pt8 crystal from the Alexandria database. Energies are from GGA-PBE.

Geometry as extended XYZ:
```
11
Lattice="3.962 0.000 0.000 -1.920 4.544 0.000 -1.256 -1.254 9.937" Properties=species:S:1:pos:R:3 pbc="T T T"
Zr 0.000 0.000 0.000
Ga 0.052 1.937 3.446
Ga 0.734 1.354 6.490
Pt -1.964 3.635 2.850
Pt -1.156 2.835 5.515
Pt -1.212 2.380 8.173
Pt 0.037 2.742 0.935
Pt 0.749 0.548 9.002
Pt 1.997 0.910 1.764
Pt 1.942 0.456 4.422
Pt 2.750 -0.344 7.087
```

Summary:
- ΔH_f (0 K) (eV/atom) = -0.577
- SG = P-1
- theoretical density (Mg/m³) = 16.63
- raw total energy (eV/atom) = -6.298
- magnetic moment (Bohr magnetons per cell) = 0.000